First-principles (GGA-PBE) data for Nd2ZnRuC after structural relaxation, as listed in Alexandria via LeMat-Bulk.

Geometry as extended XYZ:
```
5
Lattice="-3.3869 -0.4492 -1.8943 2.5941 -0.8882 -4.4276 0.0784 -5.0965 1.0683" Properties=species:S:1:pos:R:3 pbc="T T T"
Nd 0.0392 -2.5482 0.5341
Nd 1.2971 -0.4441 -2.2138
Zn -0.3572 -3.2169 -2.6268
Ru -1.6934 -0.2246 -0.9471
C 0.0000 0.0000 0.0000
```

Computed properties:
Electronic total energy, hartree per atom: -0.225
Fermi-level density of states, states/eV/cell: 2.45
DFT formation energy, eV per atom: -0.274
Symmetry: P4/mmm (123)